No. 1
First-principles (SCAN) data for a crystal of Zr2Zn relaxed with PBEsol, as listed in Alexandria. Values from VASP.

Formation energy (meV per atom): -196

```
&SYSTEM
  ibrav = 0, nat = 6, ntyp = 2
/
ATOMIC_SPECIES
Zr 91.22 Zr.upf
Zn 65.41 Zn.upf
CELL_PARAMETERS angstrom
1.934 -6.831 0.000
1.934 6.831 0.000
0.000 0.000 4.363
ATOMIC_POSITIONS crystal
Zr 0.077 0.923 0.750
Zr 0.237 0.763 0.250
Zr 0.763 0.237 0.750
Zr 0.923 0.077 0.250
Zn 0.416 0.584 0.750
Zn 0.584 0.416 0.250
```


No. 2
First-principles (SCAN) data for a crystal of BaAgAu4 relaxed with PBEsol, as listed in Alexandria. Values from VASP.

Formation energy (meV per atom): -400

```
&SYSTEM
  ibrav = 0, nat = 6, ntyp = 3
/
ATOMIC_SPECIES
Ba 137.33 Ba.upf
Ag 107.87 Ag.upf
Au 196.97 Au.upf
CELL_PARAMETERS angstrom
0.000 3.964 3.964
3.964 0.000 3.964
3.964 3.964 0.000
ATOMIC_POSITIONS crystal
Ba 0.000 0.000 0.000
Ag 0.250 0.250 0.250
Au 0.128 0.624 0.624
Au 0.624 0.128 0.624
Au 0.624 0.624 0.128
Au 0.624 0.624 0.624
```


No. 3
First-principles (SCAN) data for a crystal of KCa3Al relaxed with PBEsol, as listed in Alexandria. Values from VASP.

Formation energy (meV per atom): 90

```
&SYSTEM
  ibrav = 0, nat = 5, ntyp = 3
/
ATOMIC_SPECIES
K 39.10 K.upf
Ca 40.08 Ca.upf
Al 26.98 Al.upf
CELL_PARAMETERS angstrom
6.021 0.000 0.000
0.000 6.021 0.000
0.000 0.000 6.021
ATOMIC_POSITIONS crystal
K 0.000 0.000 0.000
Ca 0.000 0.500 0.500
Ca 0.500 0.000 0.500
Ca 0.500 0.500 0.000
Al 0.500 0.500 0.500
```


No. 4
First-principles (SCAN) data for a crystal of Zn2CuCl relaxed with PBEsol, as listed in Alexandria. Values from VASP.

Uncorrected formation energy (eV/atom): 0.083

```
&SYSTEM
  ibrav = 0, nat = 4, ntyp = 3
/
ATOMIC_SPECIES
Zn 65.41 Zn.upf
Cu 63.55 Cu.upf
Cl 35.45 Cl.upf
CELL_PARAMETERS angstrom
4.343 0.000 0.000
0.000 3.072 0.000
-2.158 0.000 4.634
ATOMIC_POSITIONS crystal
Zn 0.000 0.000 0.000
Zn 0.500 0.500 0.500
Cu 0.000 0.000 0.500
Cl 0.500 0.500 0.000
```


No. 5
First-principles (SCAN) data for a crystal of Cs2AgAsS4 relaxed with PBEsol, as listed in Alexandria. Values from VASP.

Uncorrected formation energy (eV/atom): -0.781

```
&SYSTEM
  ibrav = 0, nat = 16, ntyp = 4
/
ATOMIC_SPECIES
Cs 132.91 Cs.upf
Ag 107.87 Ag.upf
As 74.92 As.upf
S 32.06 S.upf
CELL_PARAMETERS angstrom
6.772 0.000 0.000
2.331 6.703 0.000
3.117 2.302 10.363
ATOMIC_POSITIONS crystal
Cs 0.238 0.264 0.101
Cs 0.255 0.013 0.687
Cs 0.745 0.987 0.313
Cs 0.762 0.736 0.899
Ag 0.126 0.587 0.582
Ag 0.874 0.413 0.418
As 0.366 0.637 0.273
As 0.634 0.363 0.727
S 0.240 0.864 0.394
S 0.247 0.761 0.097
S 0.265 0.360 0.387
S 0.282 0.446 0.773
S 0.718 0.554 0.227
S 0.735 0.640 0.613
S 0.753 0.239 0.903
S 0.760 0.136 0.606
```


No. 6
First-principles (SCAN) data for a crystal of CsNaY3 relaxed with PBEsol, as listed in Alexandria. Values from VASP.

Formation energy (meV per atom): 962

```
&SYSTEM
  ibrav = 0, nat = 5, ntyp = 3
/
ATOMIC_SPECIES
Cs 132.91 Cs.upf
Na 22.99 Na.upf
Y 88.91 Y.upf
CELL_PARAMETERS angstrom
5.841 0.000 0.000
0.000 5.841 0.000
0.000 0.000 5.841
ATOMIC_POSITIONS crystal
Cs 0.000 0.000 0.000
Na 0.500 0.500 0.500
Y 0.000 0.500 0.500
Y 0.500 0.000 0.500
Y 0.500 0.500 0.000
```


No. 7
First-principles (SCAN) data for a crystal of MgAlZn2 relaxed with PBEsol, as listed in Alexandria. Values from VASP.

Formation energy (meV per atom): -14

```
&SYSTEM
  ibrav = 0, nat = 4, ntyp = 3
/
ATOMIC_SPECIES
Mg 24.30 Mg.upf
Al 26.98 Al.upf
Zn 65.41 Zn.upf
CELL_PARAMETERS angstrom
4.679 -1.441 0.000
4.679 1.441 0.000
-1.095 0.000 4.865
ATOMIC_POSITIONS crystal
Mg 0.000 0.000 0.000
Al 0.764 0.764 0.294
Zn 0.245 0.245 0.772
Zn 0.511 0.511 0.506
```


No. 8
First-principles (SCAN) data for a crystal of Fe3TcP relaxed with PBEsol, as listed in Alexandria. Values from VASP.

Formation energy (meV per atom): 652

```
&SYSTEM
  ibrav = 0, nat = 5, ntyp = 3
/
ATOMIC_SPECIES
Fe 55.84 Fe.upf
Tc 98.00 Tc.upf
P 30.97 P.upf
CELL_PARAMETERS angstrom
4.018 0.000 0.000
0.000 4.018 0.000
0.000 0.000 4.018
ATOMIC_POSITIONS crystal
Fe 0.000 0.000 0.500
Fe 0.000 0.500 0.000
Fe 0.500 0.000 0.000
Tc 0.500 0.500 0.500
P 0.000 0.000 0.000
```


No. 9
First-principles (SCAN) data for a crystal of Hf3InCo relaxed with PBEsol, as listed in Alexandria. Values from VASP.

Formation energy (meV per atom): 1588

```
&SYSTEM
  ibrav = 0, nat = 5, ntyp = 3
/
ATOMIC_SPECIES
Hf 178.49 Hf.upf
In 114.82 In.upf
Co 58.93 Co.upf
CELL_PARAMETERS angstrom
5.100 0.000 0.000
0.000 5.100 0.000
0.000 0.000 5.100
ATOMIC_POSITIONS crystal
Hf 0.000 0.000 0.500
Hf 0.000 0.500 0.000
Hf 0.500 0.000 0.000
In 0.000 0.000 0.000
Co 0.500 0.500 0.500
```


No. 10
First-principles (SCAN) data for a crystal of Co2OsF relaxed with PBEsol, as listed in Alexandria. Values from VASP.

Uncorrected formation energy (eV/atom): 0.552

```
&SYSTEM
  ibrav = 0, nat = 4, ntyp = 3
/
ATOMIC_SPECIES
Co 58.93 Co.upf
Os 190.23 Os.upf
F 19.00 F.upf
CELL_PARAMETERS angstrom
0.000 2.824 2.824
2.824 0.000 2.824
2.824 2.824 0.000
ATOMIC_POSITIONS crystal
Co 0.250 0.250 0.250
Co 0.750 0.750 0.750
Os 0.000 0.000 0.000
F 0.500 0.500 0.500
```


No. 11
First-principles (SCAN) data for a crystal of Si2NiCl relaxed with PBEsol, as listed in Alexandria. Values from VASP.

Uncorrected formation energy (eV/atom): 0.584

```
&SYSTEM
  ibrav = 0, nat = 4, ntyp = 3
/
ATOMIC_SPECIES
Si 28.09 Si.upf
Ni 58.69 Ni.upf
Cl 35.45 Cl.upf
CELL_PARAMETERS angstrom
3.427 0.000 0.000
0.000 3.427 0.000
0.000 0.000 5.116
ATOMIC_POSITIONS crystal
Si 0.000 0.500 0.000
Si 0.500 0.000 0.000
Ni 0.000 0.000 0.500
Cl 0.500 0.500 0.500
```


No. 12
First-principles (SCAN) data for a crystal of Ba2CeNbO6 relaxed with PBEsol, as listed in Alexandria. Values from VASP.

Uncorrected formation energy (eV/atom): -3.225

```
&SYSTEM
  ibrav = 0, nat = 10, ntyp = 4
/
ATOMIC_SPECIES
Ba 137.33 Ba.upf
Ce 140.12 Ce.upf
Nb 92.91 Nb.upf
O 16.00 O.upf
CELL_PARAMETERS angstrom
0.000 4.283 4.283
4.283 0.000 4.283
4.283 4.283 0.000
ATOMIC_POSITIONS crystal
Ba 0.250 0.250 0.250
Ba 0.750 0.750 0.750
Ce 0.000 0.000 0.000
Nb 0.500 0.500 0.500
O 0.263 0.263 0.737
O 0.263 0.737 0.263
O 0.263 0.737 0.737
O 0.737 0.263 0.263
O 0.737 0.263 0.737
O 0.737 0.737 0.263
```


No. 13
First-principles (SCAN) data for a crystal of Cs3SbS3 relaxed with PBEsol, as listed in Alexandria. Values from VASP.

Uncorrected formation energy (eV/atom): -1.147

```
&SYSTEM
  ibrav = 0, nat = 28, ntyp = 3
/
ATOMIC_SPECIES
Cs 132.91 Cs.upf
Sb 121.76 Sb.upf
S 32.06 S.upf
CELL_PARAMETERS angstrom
10.195 0.000 0.000
0.000 10.195 0.000
0.000 0.000 10.195
ATOMIC_POSITIONS crystal
Cs 0.059 0.059 0.059
Cs 0.063 0.937 0.437
Cs 0.176 0.324 0.676
Cs 0.324 0.676 0.176
Cs 0.437 0.063 0.937
Cs 0.441 0.941 0.559
Cs 0.559 0.441 0.941
Cs 0.563 0.563 0.563
Cs 0.676 0.176 0.324
Cs 0.824 0.824 0.824
Cs 0.937 0.437 0.063
Cs 0.941 0.559 0.441
Sb 0.223 0.723 0.777
Sb 0.277 0.277 0.277
Sb 0.723 0.777 0.223
Sb 0.777 0.223 0.723
S 0.049 0.257 0.345
S 0.155 0.951 0.757
S 0.243 0.655 0.549
S 0.257 0.345 0.049
S 0.345 0.049 0.257
S 0.451 0.743 0.845
S 0.549 0.243 0.655
S 0.655 0.549 0.243
S 0.743 0.845 0.451
S 0.757 0.155 0.951
S 0.845 0.451 0.743
S 0.951 0.757 0.155
```


No. 14
First-principles (SCAN) data for a crystal of Sr relaxed with PBEsol, as listed in Alexandria. Values from VASP.

Formation energy (meV per atom): 3

```
&SYSTEM
  ibrav = 0, nat = 3, ntyp = 1
/
ATOMIC_SPECIES
Sr 87.62 Sr.upf
CELL_PARAMETERS angstrom
2.091 1.207 10.279
-2.091 1.207 10.279
0.000 -2.414 10.279
ATOMIC_POSITIONS crystal
Sr 0.000 0.000 0.000
Sr 0.222 0.222 0.222
Sr 0.778 0.778 0.778
```


No. 15
First-principles (SCAN) data for a crystal of Na4MoO5 relaxed with PBEsol, as listed in Alexandria. Values from VASP.

Uncorrected formation energy (eV/atom): -2.067

```
&SYSTEM
  ibrav = 0, nat = 40, ntyp = 3
/
ATOMIC_SPECIES
Na 22.99 Na.upf
Mo 95.94 Mo.upf
O 16.00 O.upf
CELL_PARAMETERS angstrom
5.633 0.000 0.000
-1.082 9.882 0.000
-1.119 -4.090 9.016
ATOMIC_POSITIONS crystal
Na 0.000 0.000 0.000
Na 0.002 0.398 0.599
Na 0.015 0.805 0.195
Na 0.220 0.549 0.934
Na 0.244 0.946 0.538
Na 0.264 0.356 0.158
Na 0.282 0.154 0.360
Na 0.491 0.897 0.090
Na 0.500 0.500 0.500
Na 0.509 0.103 0.910
Na 0.718 0.846 0.640
Na 0.736 0.644 0.842
Na 0.756 0.054 0.462
Na 0.780 0.451 0.066
Na 0.985 0.195 0.805
Na 0.998 0.602 0.401
Mo 0.215 0.785 0.753
Mo 0.480 0.300 0.738
Mo 0.520 0.700 0.262
Mo 0.785 0.215 0.247
O 0.060 0.355 0.349
O 0.116 0.958 0.773
O 0.138 0.772 0.930
O 0.194 0.602 0.191
O 0.198 0.190 0.598
O 0.334 0.729 0.575
O 0.377 0.322 0.909
O 0.399 0.882 0.318
O 0.406 0.466 0.711
O 0.459 0.152 0.150
O 0.541 0.848 0.850
O 0.594 0.534 0.289
O 0.601 0.118 0.682
O 0.623 0.678 0.091
O 0.666 0.271 0.425
O 0.802 0.810 0.402
O 0.806 0.398 0.809
O 0.862 0.228 0.070
O 0.884 0.042 0.227
O 0.940 0.645 0.651
```


No. 16
First-principles (SCAN) data for a crystal of In3SO relaxed with PBEsol, as listed in Alexandria. Values from VASP.

Uncorrected formation energy (eV/atom): -0.165

```
&SYSTEM
  ibrav = 0, nat = 5, ntyp = 3
/
ATOMIC_SPECIES
In 114.82 In.upf
S 32.06 S.upf
O 16.00 O.upf
CELL_PARAMETERS angstrom
4.777 0.000 0.000
0.000 4.777 0.000
0.000 0.000 4.777
ATOMIC_POSITIONS crystal
In 0.000 0.000 0.500
In 0.000 0.500 0.000
In 0.500 0.000 0.000
S 0.500 0.500 0.500
O 0.000 0.000 0.000
```


No. 17
First-principles (SCAN) data for a crystal of CaS2NCl relaxed with PBEsol, as listed in Alexandria. Values from VASP.

Uncorrected formation energy (eV/atom): -0.198

```
&SYSTEM
  ibrav = 0, nat = 5, ntyp = 4
/
ATOMIC_SPECIES
Ca 40.08 Ca.upf
S 32.06 S.upf
N 14.01 N.upf
Cl 35.45 Cl.upf
CELL_PARAMETERS angstrom
3.901 0.000 0.000
0.000 3.901 0.000
0.000 0.000 5.711
ATOMIC_POSITIONS crystal
Ca 0.000 0.000 0.000
S 0.000 0.500 0.500
S 0.500 0.000 0.500
N 0.500 0.500 0.500
Cl 0.500 0.500 0.000
```


No. 18
First-principles (SCAN) data for a crystal of CsBe2As2 relaxed with PBEsol, as listed in Alexandria. Values from VASP.

Formation energy (meV per atom): -381

```
&SYSTEM
  ibrav = 0, nat = 5, ntyp = 3
/
ATOMIC_SPECIES
Cs 132.91 Cs.upf
Be 9.01 Be.upf
As 74.92 As.upf
CELL_PARAMETERS angstrom
-1.821 1.821 7.870
1.821 -1.821 7.870
1.821 1.821 -7.870
ATOMIC_POSITIONS crystal
Cs 0.000 0.000 0.000
Be 0.250 0.750 0.500
Be 0.750 0.250 0.500
As 0.340 0.340 0.000
As 0.660 0.660 0.000
```


No. 19
First-principles (SCAN) data for a crystal of NaReRuS2 relaxed with PBEsol, as listed in Alexandria. Values from VASP.

Uncorrected formation energy (eV/atom): 0.900

```
&SYSTEM
  ibrav = 0, nat = 5, ntyp = 4
/
ATOMIC_SPECIES
Na 22.99 Na.upf
Re 186.21 Re.upf
Ru 101.07 Ru.upf
S 32.06 S.upf
CELL_PARAMETERS angstrom
4.668 0.000 0.000
0.000 4.668 0.000
0.000 0.000 4.714
ATOMIC_POSITIONS crystal
Na 0.000 0.000 0.000
Re 0.500 0.500 0.000
Ru 0.500 0.500 0.500
S 0.000 0.500 0.500
S 0.500 0.000 0.500
```


No. 20
First-principles (SCAN) data for a crystal of HPdSe2 relaxed with PBEsol, as listed in Alexandria. Values from VASP.

```
&SYSTEM
  ibrav = 0, nat = 4, ntyp = 3
/
ATOMIC_SPECIES
H 1.01 H.upf
Pd 106.42 Pd.upf
Se 78.96 Se.upf
CELL_PARAMETERS angstrom
1.915 1.105 6.001
-1.915 1.105 6.001
0.000 -2.211 6.001
ATOMIC_POSITIONS crystal
H 0.000 0.000 0.000
Pd 0.500 0.500 0.500
Se 0.098 0.098 0.098
Se 0.902 0.902 0.902
```


The evaluated total DFT energy (no corrections) for the records listed, in turn: -25.166 -58.324 -8.925 -12.469 -21.492 -24.148 -9.953 -19.317 -46.154 -26.955 -10.461 -22.643 -26.801 -22.272 -10.357 -23.369 -9.435 -17.761 -24.979 -19.186 eV per atom.